1.
The following is a DFT calculation (PBE) of a relaxed ZnAg crystal.

Geometry as CIF:
```
data_ZnAg
_chemical_formula_sum 'Zn6 Ag6'
_space_group_name_H-M_alt 'P 1 21/m 1'
_space_group_IT_number 11
_cell_length_a 5.745
_cell_length_b 4.623
_cell_length_c 7.476
_cell_angle_alpha 90.00
_cell_angle_beta 100.86
_cell_angle_gamma 90.00
loop_
_space_group_symop_operation_xyz
'x,y,z'
'-x,-y,-z'
'-x,y+1/2,-z'
'x,-y+1/2,z'
loop_
_atom_site_label
_atom_site_type_symbol
_atom_site_fract_x
_atom_site_fract_y
_atom_site_fract_z
Zn1 Zn 0.133 0.250 0.055
Zn2 Zn 0.195 0.750 0.277
Zn3 Zn 0.356 0.750 0.951
Ag1 Ag 0.026 0.750 0.616
Ag2 Ag 0.309 0.250 0.741
Ag3 Ag 0.467 0.250 0.382
```

Computed properties:
**Formation energy**: -2.8 kJ/mol of atoms
**E**: -2.074 eV per atom

2.
The following is a DFT calculation (PBE) of a relaxed ZnAg3 crystal.

Geometry as CIF:
```
data_ZnAg3
_chemical_formula_sum 'Zn1 Ag3'
_space_group_name_H-M_alt 'P 4/m m m'
_space_group_IT_number 123
_space_group_name_Hall '-P 4 2'
_cell_length_a 4.090
_cell_length_b 4.090
_cell_length_c 4.105
_cell_angle_alpha 90.00
_cell_angle_beta 90.00
_cell_angle_gamma 90.00
loop_
_atom_site_label
_atom_site_type_symbol
_atom_site_fract_x
_atom_site_fract_y
_atom_site_fract_z
Zn1 Zn 0.000 0.000 0.000
Ag1 Ag 0.000 0.500 0.500
Ag2 Ag 0.500 0.500 0.000
```

Computed properties:
**Formation energy**: -3.3 kJ/mol of atoms
**E**: -2.468 eV per atom

3.
The following is a DFT calculation (PBE) of a relaxed ZnAg10 crystal.

Geometry as CIF:
```
data_ZnAg10
_chemical_formula_sum 'Zn4 Ag40'
_space_group_name_H-M_alt 'C 1 2/m 1'
_space_group_IT_number 12
_cell_length_a 9.214
_cell_length_b 4.121
_cell_length_c 34.078
_cell_angle_alpha 90.00
_cell_angle_beta 90.45
_cell_angle_gamma 90.00
loop_
_space_group_symop_operation_xyz
'x,y,z'
'-x,-y,-z'
'-x,y,-z'
'x,-y,z'
'x+1/2,y+1/2,z'
'-x+1/2,-y+1/2,-z'
'-x+1/2,y+1/2,-z'
'x+1/2,-y+1/2,z'
loop_
_atom_site_label
_atom_site_type_symbol
_atom_site_fract_x
_atom_site_fract_y
_atom_site_fract_z
Zn1 Zn 0.153 0.000 0.221
Ag1 Ag 0.047 0.000 0.679
Ag2 Ag 0.049 0.000 0.404
Ag3 Ag 0.049 0.500 0.263
Ag4 Ag 0.051 0.500 0.541
Ag5 Ag 0.150 0.000 0.486
Ag6 Ag 0.150 0.500 0.348
Ag7 Ag 0.150 0.500 0.623
Ag8 Ag 0.151 0.000 0.764
Ag9 Ag 0.245 0.500 0.705
Ag10 Ag 0.248 0.500 0.431
```

Computed properties:
**Formation energy**: 7.5 kJ/mol of atoms
**E**: -2.605 eV per atom

4.
The following is a DFT calculation (PBE) of a relaxed Zn4Ag3 crystal.

Geometry as CIF:
```
data_Zn4Ag3
_chemical_formula_sum 'Zn8 Ag6'
_space_group_name_H-M_alt 'P 63/m'
_space_group_IT_number 176
_space_group_name_Hall '-P 6c'
_cell_length_a 7.5140
_cell_length_b 7.5140
_cell_length_c 4.5755
_cell_angle_alpha 90.00
_cell_angle_beta 90.00
_cell_angle_gamma 120.00
loop_
_atom_site_label
_atom_site_type_symbol
_atom_site_fract_x
_atom_site_fract_y
_atom_site_fract_z
Zn1 Zn 0.1003 0.4840 0.2500
Zn2 Zn 0.3333 0.6667 0.7500
Ag1 Ag 0.0554 0.2525 0.7500
```

Computed properties:
**Polymorph energy (0 for the lowest one)**: 0.0156 eV/atom
**Formation energy**: -3.1 kJ/mol of atoms
**E**: -1.965 eV per atom